VASP calculation (PBE-GGA) on a geometry-optimized TmThSc2 structure.

abc: 3.449 3.449 10.993
angles: 80.98 80.98 60.00
Fractional positions:
Th (0.000, 0.000, 0.000)
Sc (0.749, 0.749, 0.753)
Sc (0.251, 0.251, 0.247)
Tm (0.500, 0.500, 0.500)

Results
* energy: -24.360 eV per cell
* crystal system: trigonal
* ΔH_f (0 K): 49 meV per atom
* V: 27.84 Å³ per atom

---

VASP calculation (PBE-GGA) on a geometry-optimized Tm2ThSc3 structure.

abc: 10.614 8.322 8.323
angles: 47.31 50.38 50.38
Fractional positions:
Tm (0.000, 0.750, 0.750)
Tm (0.000, 0.250, 0.250)
Tm (0.500, 0.750, 0.750)
Tm (0.500, 0.250, 0.250)
Sc (0.500, 0.250, 0.750)
Sc (0.239, 0.511, 0.011)
Sc (0.239, 0.011, 0.511)
Sc (0.500, 0.750, 0.250)
Sc (0.761, 0.989, 0.489)
Sc (0.761, 0.489, 0.989)
Th (0.000, 0.000, 0.000)
Th (0.000, 0.500, 0.500)

Results
* energy: -63.751 eV per cell
* crystal system: orthorhombic
* ΔH_f (0 K): 580 meV per atom
* V: 32.32 Å³ per atom

---

VASP calculation (PBE-GGA) on a geometry-optimized Tm8ThSc2 structure.

abc: 4.894 7.742 9.160
angles: 104.81 105.49 90.00
Fractional positions:
Tm (0.138, 0.188, 0.276)
Tm (0.406, 0.544, 0.813)
Tm (0.318, 0.090, 0.636)
Tm (0.862, 0.812, 0.724)
Tm (0.594, 0.456, 0.187)
Tm (0.047, 0.730, 0.094)
Tm (0.682, 0.910, 0.364)
Tm (0.953, 0.270, 0.906)
Sc (0.771, 0.366, 0.542)
Sc (0.229, 0.634, 0.458)
Th (0.500, 0.000, 0.000)

Results
* energy: -55.348 eV per cell
* crystal system: monoclinic
* ΔH_f (0 K): 46 meV per atom
* V: 29.31 Å³ per atom

---

VASP calculation (PBE-GGA) on a geometry-optimized Tm5Th2Sc4 structure.

abc: 3.372 7.079 14.343
angles: 104.29 96.75 90.00
Fractional positions:
Sc (0.599, 0.599, 0.197)
Sc (0.000, 0.672, 0.000)
Sc (0.401, 0.401, 0.803)
Sc (0.000, 0.328, 0.000)
Tm (0.196, 0.454, 0.391)
Tm (0.804, 0.546, 0.609)
Tm (0.804, 0.063, 0.609)
Tm (0.196, 0.937, 0.391)
Tm (0.500, 0.000, 0.000)
Th (0.898, 0.898, 0.797)
Th (0.102, 0.102, 0.203)

Results
* energy: -58.018 eV per cell
* crystal system: orthorhombic
* ΔH_f (0 K): 410 meV per atom
* V: 29.94 Å³ per atom

---

VASP calculation (PBE-GGA) on a geometry-optimized Tm4Th4Sc structure.

abc: 4.960 7.848 7.848
angles: 84.27 71.58 71.58
Fractional positions:
Th (0.336, 0.327, 0.000)
Th (0.664, 0.673, 0.000)
Th (0.336, 0.000, 0.327)
Th (0.664, 0.000, 0.673)
Tm (0.671, 0.329, 0.329)
Tm (0.000, 0.671, 0.329)
Tm (0.000, 0.329, 0.671)
Tm (0.329, 0.671, 0.671)
Sc (0.000, 0.000, 0.000)

Results
* energy: -53.560 eV per cell
* crystal system: tetragonal
* ΔH_f (0 K): 37 meV per atom
* V: 30.55 Å³ per atom

---

VASP calculation (PBE-GGA) on a geometry-optimized Tm7ThSc3 structure.

abc: 5.359 9.550 8.526
angles: 103.44 128.94 90.01
Fractional positions:
Tm (0.140, 0.284, 0.640)
Tm (0.669, 0.362, 0.169)
Tm (0.500, 0.000, 0.500)
Tm (0.069, 0.169, 0.069)
Tm (0.860, 0.716, 0.360)
Tm (0.331, 0.638, 0.831)
Tm (0.931, 0.831, 0.931)
Sc (0.722, 0.009, 0.222)
Sc (0.278, 0.991, 0.778)
Sc (0.000, 0.500, 0.000)
Th (0.500, 0.500, 0.500)

Results
* energy: -56.114 eV per cell
* crystal system: monoclinic
* ΔH_f (0 K): 146 meV per atom
* V: 29.44 Å³ per atom

---

VASP calculation (PBE-GGA) on a geometry-optimized Tm7Th3Sc structure.

abc: 8.362 6.964 6.964
angles: 120.00 90.00 90.00
Fractional positions:
Tm (0.119, 0.663, 0.832)
Tm (0.119, 0.168, 0.832)
Tm (0.450, 0.832, 0.168)
Tm (0.450, 0.335, 0.168)
Tm (0.119, 0.168, 0.337)
Tm (0.112, 0.667, 0.333)
Tm (0.450, 0.832, 0.665)
Th (0.781, 0.499, 0.501)
Th (0.781, 0.002, 0.501)
Th (0.781, 0.499, 0.998)
Sc (0.455, 0.333, 0.667)

Results
* energy: -57.615 eV per cell
* crystal system: trigonal
* ΔH_f (0 K): 207 meV per atom
* V: 31.93 Å³ per atom

---

VASP calculation (PBE-GGA) on a geometry-optimized Tm8ThSc6 structure.

abc: 9.350 9.350 7.801
angles: 53.18 53.18 60.00
Fractional positions:
Tm (0.647, 0.770, 0.514)
Tm (0.931, 0.353, 0.486)
Tm (0.408, 0.408, 0.775)
Tm (0.069, 0.647, 0.514)
Tm (0.592, 0.592, 0.225)
Tm (0.770, 0.069, 0.514)
Tm (0.230, 0.931, 0.486)
Tm (0.353, 0.230, 0.486)
Sc (0.621, 0.057, 0.030)
Sc (0.292, 0.621, 0.030)
Sc (0.057, 0.292, 0.030)
Sc (0.943, 0.708, 0.970)
Sc (0.379, 0.943, 0.970)
Sc (0.708, 0.379, 0.970)
Th (0.000, 0.000, 0.000)

Results
* energy: -78.387 eV per cell
* crystal system: trigonal
* ΔH_f (0 K): 186 meV per atom
* V: 28.42 Å³ per atom

---

VASP calculation (PBE-GGA) on a geometry-optimized TmTh3Sc2 structure.

abc: 3.516 3.516 14.224
angles: 90.00 90.00 90.00
Fractional positions:
Sc (0.500, 0.500, 0.162)
Sc (0.500, 0.500, 0.838)
Th (0.000, 0.000, 0.675)
Th (0.000, 0.000, 0.000)
Th (0.000, 0.000, 0.325)
Tm (0.500, 0.500, 0.500)

Results
* energy: -39.217 eV per cell
* crystal system: tetragonal
* ΔH_f (0 K): 30 meV per atom
* V: 29.30 Å³ per atom

---

VASP calculation (PBE-GGA) on a geometry-optimized Tm8Th6Sc structure.

abc: 8.638 8.638 8.638
angles: 60.88 60.88 60.88
Fractional positions:
Tm (0.802, 0.119, 0.678)
Tm (0.420, 0.420, 0.420)
Tm (0.580, 0.580, 0.580)
Tm (0.119, 0.678, 0.802)
Tm (0.198, 0.881, 0.322)
Tm (0.678, 0.802, 0.119)
Tm (0.881, 0.322, 0.198)
Tm (0.322, 0.198, 0.881)
Th (0.540, 0.258, 0.075)
Th (0.742, 0.925, 0.460)
Th (0.925, 0.460, 0.742)
Th (0.258, 0.075, 0.540)
Th (0.460, 0.742, 0.925)
Th (0.075, 0.540, 0.258)
Sc (0.000, 0.000, 0.000)

Results
* energy: -84.633 eV per cell
* crystal system: trigonal
* ΔH_f (0 K): 133 meV per atom
* V: 30.98 Å³ per atom

---

VASP calculation (PBE-GGA) on a geometry-optimized Tm8ThSc6 structure.

abc: 6.263 8.994 8.994
angles: 120.00 90.00 90.00
Fractional positions:
Th (0.500, 0.000, 0.000)
Tm (0.220, 0.667, 0.333)
Tm (0.895, 0.348, 0.038)
Tm (0.105, 0.309, 0.348)
Tm (0.105, 0.038, 0.691)
Tm (0.895, 0.962, 0.309)
Tm (0.895, 0.691, 0.652)
Tm (0.780, 0.333, 0.667)
Tm (0.105, 0.652, 0.962)
Sc (0.594, 0.398, 0.326)
Sc (0.406, 0.072, 0.398)
Sc (0.594, 0.674, 0.072)
Sc (0.406, 0.602, 0.674)
Sc (0.594, 0.928, 0.602)
Sc (0.406, 0.326, 0.928)

Results
* energy: -77.416 eV per cell
* crystal system: trigonal
* ΔH_f (0 K): 251 meV per atom
* V: 29.25 Å³ per atom

---

VASP calculation (PBE-GGA) on a geometry-optimized TmThSc6 structure.

abc: 5.347 6.727 6.727
angles: 120.01 90.00 90.00
Fractional positions:
Th (0.000, 0.083, 0.917)
Sc (0.000, 0.587, 0.413)
Sc (0.000, 0.587, 0.923)
Sc (0.000, 0.077, 0.413)
Sc (0.500, 0.915, 0.581)
Sc (0.500, 0.915, 0.085)
Sc (0.500, 0.419, 0.085)
Tm (0.500, 0.417, 0.583)

Results
* energy: -49.703 eV per cell
* crystal system: hexagonal
* ΔH_f (0 K): 22 meV per atom
* V: 26.19 Å³ per atom

---

VASP calculation (PBE-GGA) on a geometry-optimized TmThSc structure.

abc: 3.425 3.425 15.708
angles: 96.26 96.26 90.00
Fractional positions:
Sc (0.053, 0.053, 0.105)
Sc (0.947, 0.947, 0.895)
Th (0.627, 0.627, 0.253)
Th (0.373, 0.373, 0.747)
Tm (0.208, 0.208, 0.415)
Tm (0.792, 0.792, 0.585)

Results
* energy: -35.473 eV per cell
* crystal system: tetragonal
* ΔH_f (0 K): 162 meV per atom
* V: 30.34 Å³ per atom

---

VASP calculation (PBE-GGA) on a geometry-optimized Tm3Th4Sc4 structure.

abc: 3.463 9.999 10.798
angles: 117.58 99.23 90.00
Fractional positions:
Tm (0.000, 0.500, 0.000)
Tm (0.096, 0.096, 0.192)
Tm (0.904, 0.904, 0.808)
Th (0.663, 0.462, 0.326)
Th (0.337, 0.136, 0.674)
Th (0.337, 0.538, 0.674)
Th (0.663, 0.864, 0.326)
Sc (0.740, 0.240, 0.480)
Sc (0.500, 0.212, 0.000)
Sc (0.500, 0.788, 0.000)
Sc (0.260, 0.760, 0.520)

Results
* energy: -66.445 eV per cell
* crystal system: orthorhombic
* ΔH_f (0 K): 180 meV per atom
* V: 29.63 Å³ per atom

---

VASP calculation (PBE-GGA) on a geometry-optimized Tm2ThSc6 structure.

abc: 3.508 8.403 9.272
angles: 63.06 85.54 80.12
Fractional positions:
Sc (0.663, 0.655, 0.000)
Sc (0.144, 0.510, 0.314)
Sc (0.856, 0.176, 0.314)
Sc (0.144, 0.824, 0.686)
Sc (0.856, 0.490, 0.686)
Sc (0.337, 0.345, 0.000)
Tm (0.500, 0.819, 0.361)
Tm (0.500, 0.181, 0.639)
Th (0.000, 0.000, 0.000)

Results
* energy: -53.273 eV per cell
* crystal system: monoclinic
* ΔH_f (0 K): 120 meV per atom
* V: 26.67 Å³ per atom

---

VASP calculation (PBE-GGA) on a geometry-optimized Y2Tm4ThSc structure.

abc: 4.958 4.946 11.036
angles: 63.42 90.00 90.00
Fractional positions:
Th (0.000, 0.500, 0.500)
Tm (0.000, 0.747, 0.753)
Tm (0.500, 0.753, 0.247)
Tm (0.500, 0.247, 0.753)
Tm (0.000, 0.253, 0.247)
Sc (0.500, 0.500, 0.000)
Y (0.500, 0.000, 0.500)
Y (0.000, 0.000, 0.000)

Results
* energy: -44.176 eV per cell
* crystal system: monoclinic
* ΔH_f (0 K): 49 meV per atom
* V: 30.25 Å³ per atom

---

VASP calculation (PBE-GGA) on a geometry-optimized Y3Tm6ThSc2 structure.

abc: 6.012 6.012 11.601
angles: 94.96 94.96 120.00
Fractional positions:
Tm (0.082, 0.415, 0.245)
Tm (0.415, 0.082, 0.245)
Tm (0.749, 0.749, 0.245)
Tm (0.585, 0.918, 0.755)
Tm (0.251, 0.251, 0.755)
Tm (0.918, 0.585, 0.755)
Y (0.168, 0.832, 0.500)
Y (0.832, 0.168, 0.500)
Y (0.500, 0.500, 0.500)
Th (0.000, 0.000, 0.000)
Sc (0.333, 0.667, 0.000)
Sc (0.667, 0.333, 0.000)

Results
* energy: -65.811 eV per cell
* crystal system: monoclinic
* ΔH_f (0 K): 41 meV per atom
* V: 29.80 Å³ per atom

---

VASP calculation (PBE-GGA) on a geometry-optimized YTmTh2Sc structure.

abc: 3.443 8.359 11.539
angles: 109.81 90.00 90.00
Fractional positions:
Sc (0.250, 0.188, 0.042)
Sc (0.750, 0.812, 0.958)
Y (0.250, 0.200, 0.556)
Y (0.750, 0.800, 0.444)
Th (0.750, 0.588, 0.646)
Th (0.750, 0.558, 0.137)
Th (0.250, 0.412, 0.354)
Th (0.250, 0.442, 0.863)
Tm (0.250, 0.949, 0.229)
Tm (0.750, 0.051, 0.771)

Results
* energy: -62.679 eV per cell
* crystal system: monoclinic
* ΔH_f (0 K): 153 meV per atom
* V: 31.25 Å³ per atom

---

VASP calculation (PBE-GGA) on a geometry-optimized Y2Tm5ThSc structure.

abc: 5.589 11.166 9.341
angles: 90.00 90.00 104.49
Fractional positions:
Tm (0.697, 0.393, 0.219)
Tm (0.528, 0.056, 0.249)
Tm (0.394, 0.789, 0.044)
Tm (0.731, 0.463, 0.829)
Tm (0.988, 0.977, 0.513)
Tm (0.012, 0.023, 0.013)
Tm (0.303, 0.607, 0.719)
Tm (0.472, 0.944, 0.749)
Tm (0.269, 0.537, 0.329)
Tm (0.606, 0.211, 0.544)
Y (0.866, 0.731, 0.209)
Y (0.885, 0.770, 0.816)
Y (0.134, 0.269, 0.709)
Y (0.115, 0.230, 0.316)
Th (0.599, 0.199, 0.931)
Th (0.401, 0.801, 0.431)
Sc (0.195, 0.389, 0.014)
Sc (0.805, 0.611, 0.514)

Results
* energy: -94.884 eV per cell
* crystal system: orthorhombic
* ΔH_f (0 K): 177 meV per atom
* V: 31.35 Å³ per atom

---

VASP calculation (PBE-GGA) on a geometry-optimized YTm2ThSc4 structure.

abc: 4.915 4.918 10.410
angles: 61.84 90.00 90.00
Fractional positions:
Sc (0.000, 0.247, 0.253)
Sc (0.000, 0.753, 0.747)
Sc (0.500, 0.253, 0.747)
Sc (0.500, 0.747, 0.253)
Tm (0.500, 0.000, 0.500)
Tm (0.000, 0.000, 0.000)
Th (0.000, 0.500, 0.500)
Y (0.500, 0.500, 0.000)

Results
* energy: -47.806 eV per cell
* crystal system: tetragonal
* ΔH_f (0 K): 43 meV per atom
* V: 27.73 Å³ per atom

---

VASP calculation (PBE-GGA) on a geometry-optimized YTm3ThSc structure.

abc: 3.505 10.414 10.430
angles: 109.38 90.00 90.00
Fractional positions:
Tm (0.250, 0.127, 0.957)
Tm (0.750, 0.377, 0.208)
Tm (0.250, 0.628, 0.457)
Tm (0.250, 0.623, 0.792)
Tm (0.750, 0.873, 0.043)
Tm (0.750, 0.372, 0.543)
Th (0.750, 0.372, 0.873)
Th (0.250, 0.628, 0.127)
Y (0.750, 0.880, 0.705)
Y (0.250, 0.120, 0.295)
Sc (0.750, 0.874, 0.378)
Sc (0.250, 0.126, 0.622)

Results
* energy: -66.792 eV per cell
* crystal system: monoclinic
* ΔH_f (0 K): 39 meV per atom
* V: 29.93 Å³ per atom

---

VASP calculation (PBE-GGA) on a geometry-optimized Y6Tm2Th3Sc structure.

abc: 6.150 6.150 11.667
angles: 95.07 95.07 119.98
Fractional positions:
Tm (0.334, 0.666, 0.000)
Tm (0.666, 0.334, 0.000)
Sc (0.000, 0.000, 0.000)
Y (0.751, 0.751, 0.250)
Y (0.082, 0.414, 0.250)
Y (0.414, 0.082, 0.250)
Y (0.586, 0.918, 0.750)
Y (0.249, 0.249, 0.750)
Y (0.918, 0.586, 0.750)
Th (0.167, 0.833, 0.500)
Th (0.500, 0.500, 0.500)
Th (0.833, 0.167, 0.500)

Results
* energy: -75.816 eV per cell
* crystal system: monoclinic
* ΔH_f (0 K): 42 meV per atom
* V: 31.35 Å³ per atom